First-principles (PBE with a Hubbard U) data for a geometry-optimized SrCo3O structure, as listed in Alexandria via LeMat-Bulk.

## Properties
DFT total energy (eV per atom): -1.818
SG: Pm-3m (221)
V (Å³ per cell): 149.8

POSCAR file:
```
SrCo3O
1.0
5.3107 0.0000 0.0000
0.0000 5.3107 0.0000
0.0000 0.0000 5.3107
Sr Co O
1 3 1
Direct
0.0000 0.0000 0.0000
0.0000 0.0000 0.5000
0.0000 0.5000 0.0000
0.5000 0.0000 0.0000
0.5000 0.5000 0.5000
```



First-principles (PBE with a Hubbard U) data for a geometry-optimized SrCoO3 structure, as listed in Alexandria via LeMat-Bulk.

## Properties
DFT total energy (eV per atom): -5.847
SG: P2_1/m (11)
V (Å³ per cell): 113.2

POSCAR file:
```
SrCoO3
1.0
3.0379 0.0000 0.0000
0.0000 7.2921 0.0000
-1.4669 0.0000 5.1091
Sr Co O
2 2 6
Direct
0.2497 0.2500 0.0008
0.7503 0.7500 0.9992
0.5000 0.0000 0.5000
0.5000 0.5000 0.5000
0.1204 0.5414 0.7341
0.1204 0.9586 0.7341
0.4383 0.7500 0.3890
0.5617 0.2500 0.6110
0.8796 0.0414 0.2659
0.8796 0.4586 0.2659
```



First-principles (PBE with a Hubbard U) data for a geometry-optimized SrCoO3 structure, as listed in Alexandria via LeMat-Bulk.

## Properties
DFT total energy (eV per atom): -5.584
SG: Amm2 (38)
V (Å³ per cell): 98.4

POSCAR file:
```
SrCoO3
1.0
3.0207 0.0000 0.0000
0.0000 3.2041 5.0849
0.0000 -3.2041 5.0849
Sr Co O
1 1 3
Direct
0.0000 0.0000 0.0000
0.5000 0.3435 0.3435
0.0000 0.1994 0.5623
0.0000 0.5623 0.1994
0.5000 0.1691 0.1691
```



First-principles (PBE with a Hubbard U) data for a geometry-optimized Sr2CoO4 structure, as listed in Alexandria via LeMat-Bulk.

## Properties
Energy above the most stable polymorph in this dataset (meV per atom): 97
DFT total energy (eV per atom): -5.943
SG: Cmcm (63)
V (Å³ per cell): 244.0

POSCAR file:
```
Sr2CoO4
1.0
3.7843 -5.6869 0.0000
3.7843 5.6869 0.0000
0.0000 0.0000 5.6697
Sr Co O
4 2 8
Direct
0.0964 0.3919 0.2500
0.3919 0.0964 0.7500
0.6081 0.9036 0.2500
0.9036 0.6081 0.7500
0.1344 0.8656 0.2500
0.8656 0.1344 0.7500
0.1444 0.2698 0.7500
0.2388 0.7612 0.0048
0.2388 0.7612 0.4952
0.2698 0.1444 0.2500
0.7302 0.8556 0.7500
0.7612 0.2388 0.5048
0.7612 0.2388 0.9952
0.8556 0.7302 0.2500
```



First-principles (PBE with a Hubbard U) data for a geometry-optimized Sr6Co5O15 structure, as listed in Alexandria via LeMat-Bulk.

## Properties
DFT total energy (eV per atom): -6.061
SG: R32 (155)
V (Å³ per cell): 329.9

POSCAR file:
```
Sr6Co5O15
1.0
4.7972 2.7696 4.1378
-4.7972 2.7696 4.1378
0.0000 -5.5393 4.1378
Sr Co O
6 5 15
Direct
0.0000 0.3613 0.6387
0.1779 0.8221 0.5000
0.3613 0.6387 0.0000
0.5000 0.1779 0.8221
0.6387 0.0000 0.3613
0.8221 0.5000 0.1779
0.0000 0.0000 0.0000
0.2057 0.2057 0.2057
0.4046 0.4046 0.4046
0.5954 0.5954 0.5954
0.7943 0.7943 0.7943
0.0547 0.7647 0.8675
0.1325 0.2353 0.9453
0.1590 0.4701 0.2955
0.2353 0.9453 0.1325
0.2955 0.1590 0.4701
0.3434 0.5000 0.6566
0.4701 0.2955 0.1590
0.5000 0.6566 0.3434
0.5299 0.8410 0.7045
0.6566 0.3434 0.5000
0.7045 0.5299 0.8410
0.7647 0.8675 0.0547
0.8410 0.7045 0.5299
0.8675 0.0547 0.7647
0.9453 0.1325 0.2353
```



First-principles (PBE with a Hubbard U) data for a geometry-optimized Sr12Co3O5 structure, as listed in Alexandria via LeMat-Bulk.

## Properties
DFT total energy (eV per atom): -4.089
SG: Ia-3d (230)
V (Å³ per cell): 2355.6

POSCAR file:
```
Sr12Co3O5
1.0
-8.3819 8.3819 8.3819
8.3819 -8.3819 8.3819
8.3819 8.3819 -8.3819
Sr Co O
48 12 20
Direct
0.0143 0.1980 0.1171
0.0143 0.3163 0.8972
0.0809 0.6980 0.6837
0.0809 0.8829 0.3972
0.1028 0.6171 0.4191
0.1028 0.9857 0.6837
0.1171 0.0143 0.1980
0.1171 0.6028 0.9191
0.1837 0.1980 0.5809
0.1837 0.4857 0.6028
0.1980 0.1171 0.0143
0.1980 0.5809 0.1837
0.3020 0.3163 0.9191
0.3020 0.4857 0.3829
0.3163 0.8972 0.0143
0.3163 0.9191 0.3020
0.3829 0.3020 0.4857
0.3829 0.5809 0.8972
0.3972 0.0809 0.8829
0.3972 0.8163 0.5143
0.4191 0.1028 0.6171
0.4191 0.8163 0.8020
0.4857 0.3829 0.3020
0.4857 0.6028 0.1837
0.5143 0.3972 0.8163
0.5143 0.6171 0.6980
0.5809 0.1837 0.1980
0.5809 0.8972 0.3829
0.6028 0.1837 0.4857
0.6028 0.9191 0.1171
0.6171 0.4191 0.1028
0.6171 0.6980 0.5143
0.6837 0.0809 0.6980
0.6837 0.1028 0.9857
0.6980 0.5143 0.6171
0.6980 0.6837 0.0809
0.8020 0.4191 0.8163
0.8020 0.8829 0.9857
0.8163 0.5143 0.3972
0.8163 0.8020 0.4191
0.8829 0.3972 0.0809
0.8829 0.9857 0.8020
0.8972 0.0143 0.3163
0.8972 0.3829 0.5809
0.9191 0.1171 0.6028
0.9191 0.3020 0.3163
0.9857 0.6837 0.1028
0.9857 0.8020 0.8829
0.1250 0.2500 0.3750
0.1250 0.3750 0.7500
0.2500 0.3750 0.1250
0.2500 0.8750 0.6250
0.3750 0.1250 0.2500
0.3750 0.7500 0.1250
0.6250 0.2500 0.8750
0.6250 0.8750 0.7500
0.7500 0.1250 0.3750
0.7500 0.6250 0.8750
0.8750 0.6250 0.2500
0.8750 0.7500 0.6250
0.0000 0.0000 0.0000
0.0000 0.0000 0.5000
0.0000 0.5000 0.0000
0.0000 0.5000 0.5000
0.1250 0.7500 0.8750
0.1250 0.8750 0.2500
0.2500 0.1250 0.8750
0.2500 0.6250 0.3750
0.3750 0.2500 0.6250
0.3750 0.6250 0.7500
0.5000 0.0000 0.0000
0.5000 0.0000 0.5000
0.5000 0.5000 0.0000
0.5000 0.5000 0.5000
0.6250 0.3750 0.2500
0.6250 0.7500 0.3750
0.7500 0.3750 0.6250
0.7500 0.8750 0.1250
0.8750 0.1250 0.7500
0.8750 0.2500 0.1250
```



First-principles (PBE with a Hubbard U) data for a geometry-optimized SrCoO3 structure, as listed in Alexandria via LeMat-Bulk.

## Properties
DFT total energy (eV per atom): -5.880
SG: P2_1/m (11)
V (Å³ per cell): 177.9

POSCAR file:
```
SrCoO3
1.0
4.0460 0.0000 0.0000
0.0000 5.9012 0.0000
-0.4818 0.0000 7.4505
Sr Co O
2 2 6
Direct
0.2364 0.2500 0.3520
0.7636 0.7500 0.6480
0.2613 0.2500 0.8004
0.7387 0.7500 0.1996
0.2361 0.2500 0.0201
0.2659 0.0240 0.6570
0.2659 0.4760 0.6570
0.7341 0.5240 0.3430
0.7341 0.9760 0.3430
0.7639 0.7500 0.9799
```



First-principles (PBE with a Hubbard U) data for a geometry-optimized SrCo2O structure, as listed in Alexandria via LeMat-Bulk.

## Properties
DFT total energy (eV per atom): -4.424
SG: Fd-3m (227)
V (Å³ per cell): 147.3

POSCAR file:
```
SrCo2O
1.0
0.0000 4.1921 4.1921
4.1921 0.0000 4.1921
4.1921 4.1921 0.0000
Sr Co O
2 4 2
Direct
0.1250 0.1250 0.1250
0.8750 0.8750 0.8750
0.0000 0.5000 0.5000
0.5000 0.0000 0.5000
0.5000 0.5000 0.0000
0.5000 0.5000 0.5000
0.3750 0.3750 0.3750
0.6250 0.6250 0.6250
```



First-principles (PBE with a Hubbard U) data for a geometry-optimized Sr2CoO4 structure, as listed in Alexandria via LeMat-Bulk.

## Properties
Energy above the most stable polymorph in this dataset (meV per atom): 3
DFT total energy (eV per atom): -6.037
SG: P1 (1)
V (Å³ per cell): 377.6

POSCAR file:
```
Sr2CoO4
1.0
5.4954 0.0000 0.0000
-0.0385 6.8279 0.0000
-0.1125 -2.4011 10.0621
Sr Co O
8 4 16
Direct
0.0000 0.0000 0.0000
0.0013 0.0705 0.6429
0.4946 0.2535 0.2513
0.4953 0.8236 0.3941
0.5048 0.3218 0.8900
0.5054 0.7476 0.7475
0.9994 0.5018 0.4983
0.9986 0.5741 0.1416
0.4987 0.7875 0.0710
0.5017 0.2853 0.5699
0.9985 0.0355 0.3192
0.9978 0.5395 0.8240
0.0019 0.2993 0.9015
0.0022 0.7745 0.7433
0.2249 0.1539 0.4374
0.2436 0.6488 0.9333
0.2512 0.9090 0.1919
0.2793 0.3999 0.6848
0.4965 0.5603 0.1489
0.4979 0.0190 0.9974
0.5011 0.5237 0.4891
0.5029 0.0462 0.6505
0.7282 0.1689 0.4532
0.7426 0.6678 0.9525
0.7595 0.9233 0.2068
0.7812 0.4164 0.7013
0.9955 0.2762 0.2403
0.9966 0.7983 0.3997
```



First-principles (PBE with a Hubbard U) data for a geometry-optimized SrCoO3 structure, as listed in Alexandria via LeMat-Bulk.

## Properties
DFT total energy (eV per atom): -5.900
SG: P-1 (2)
V (Å³ per cell): 258.1

POSCAR file:
```
SrCoO3
1.0
4.9147 0.0000 0.0000
0.0067 5.5182 0.0000
1.4477 0.1874 9.5179
Sr Co O
4 4 12
Direct
0.0049 0.2439 0.1561
0.4868 0.7434 0.1613
0.5132 0.2566 0.8387
0.9951 0.7561 0.8439
0.0016 0.2498 0.5028
0.5000 0.0000 0.5000
0.5000 0.5000 0.5000
0.9984 0.7502 0.4972
0.0173 0.7467 0.1005
0.1964 0.5024 0.3950
0.2011 0.0033 0.3929
0.2959 0.7487 0.6004
0.3042 0.2433 0.6039
0.4691 0.7527 0.9022
0.5309 0.2473 0.0978
0.6958 0.7567 0.3961
0.7041 0.2513 0.3996
0.7989 0.9967 0.6071
0.8036 0.4976 0.6050
0.9827 0.2533 0.8995
```



First-principles (PBE with a Hubbard U) data for a geometry-optimized Sr3Co2O9 structure, as listed in Alexandria via LeMat-Bulk.

## Properties
DFT total energy (eV per atom): -5.824
SG: C2/m (12)
V (Å³ per cell): 174.2

POSCAR file:
```
Sr3Co2O9
1.0
11.2380 -1.9735 0.0000
11.2380 1.9735 0.0000
-0.3080 0.0000 3.9264
Sr Co O
3 2 9
Direct
0.0000 0.0000 0.0000
0.1647 0.1647 0.0785
0.8353 0.8353 0.9215
0.4157 0.4157 0.4637
0.5843 0.5843 0.5363
0.0897 0.0897 0.5429
0.2834 0.2834 0.1963
0.3235 0.3235 0.4845
0.4105 0.4105 0.9648
0.5000 0.5000 0.5000
0.5895 0.5895 0.0352
0.6765 0.6765 0.5155
0.7166 0.7166 0.8037
0.9103 0.9103 0.4571
```



First-principles (PBE with a Hubbard U) data for a geometry-optimized SrCoO3 structure, as listed in Alexandria via LeMat-Bulk.

## Properties
DFT total energy (eV per atom): -5.961
SG: P4/mbm (127)
V (Å³ per cell): 118.7

POSCAR file:
```
SrCoO3
1.0
5.4762 0.0000 0.0000
0.0000 5.4762 0.0000
0.0000 0.0000 3.9590
Sr Co O
2 2 6
Direct
0.0000 0.0000 0.0000
0.5000 0.5000 0.0000
0.0000 0.5000 0.5000
0.5000 0.0000 0.5000
0.0000 0.5000 0.0000
0.2308 0.2692 0.5000
0.2692 0.7692 0.5000
0.5000 0.0000 0.0000
0.7308 0.2308 0.5000
0.7692 0.7308 0.5000
```